Compound: AlTeP2
Source: Alexandria via LeMat-Bulk
Functional: PBEsol
Structure: relaxed

Output
The value obtained for the density of states at the Fermi level is 1.6 states/eV/cell. The calculation puts the energy relative to the elements, uncorrected at 5 kJ/mol of atoms.

The structure in POSCAR format:
```
AlTeP2
1.0
-2.673 2.673 2.703
2.673 -2.673 2.703
2.673 2.673 -2.703
Al Te P
1 1 2
Direct
0.000 0.000 0.000
0.500 0.500 0.000
0.000 0.500 0.500
0.500 0.000 0.500
```